Record 1
The following is a PBE calculation of Sm2Ga3CuPd4 after structural relaxation, from the Alexandria database.

Cell and atoms, written as POSCAR:
```
Sm2Ga3CuPd4
1.0
4.279 0.000 0.000
0.000 4.279 0.000
0.000 0.000 10.367
Sm Ga Cu Pd
2 3 1 4
Direct
0.500 0.000 0.253
0.000 0.500 0.747
0.000 0.000 0.500
0.500 0.000 0.871
0.000 0.500 0.129
0.500 0.500 0.500
0.500 0.500 0.000
0.000 0.000 0.000
0.500 0.000 0.633
0.000 0.500 0.367
```

Its formation energy is -7.15 eV per formula unit. As for the symmetry: P-4m2, No. 115. The total energy is -50.540 eV per cell. As for the mass density: 8.74 g cm⁻³.



Record 2
The following is a PBE calculation of Li4Zn2Ag after structural relaxation, from the Alexandria database.

Cell and atoms, written as POSCAR:
```
Li4Zn2Ag
1.0
6.738 0.011 -0.019
-2.235 6.356 0.019
-2.268 -3.172 5.495
Li Zn Ag
8 4 2
Direct
0.126 0.905 0.375
0.625 0.750 0.529
0.971 0.595 0.721
0.279 0.250 0.875
0.624 0.750 0.029
0.779 0.250 0.874
0.471 0.095 0.221
0.125 0.405 0.376
0.875 0.126 0.501
0.499 0.374 0.625
0.375 0.874 0.749
0.251 0.626 0.125
0.000 0.000 0.000
0.750 0.500 0.250
```

Its formation energy is -0.35 eV per formula unit. As for the symmetry: I-42d, No. 122. The total energy is -26.809 eV per cell. As for the mass density: 3.76 g cm⁻³.



- What is the formation energy in the first record?
  -7.15 eV per formula unit